1.
Below is a relaxed Mg2PtRhO6 crystal, with properties calculated at the PBE level.

Cell lengths 5.520, 5.520, 4.322 Å; angles 90.00, 90.00, 90.00 degrees
Fractional positions:
Mg1 0.000 0.500 0.000
Mg2 0.500 0.000 0.000
Pt1 0.000 0.000 0.720
Rh1 0.500 0.500 0.693
O1 0.000 0.000 0.256
O2 0.255 0.255 0.826
O3 0.255 0.745 0.826
O4 0.500 0.500 0.268
O5 0.745 0.255 0.826
O6 0.745 0.745 0.826

* E_form (uncorrected): -10.0 eV/f.u.
* space-group type: P4mm (99)

2.
Below is a relaxed La16Tb7Ho6 crystal, with properties calculated at the PBE level.

Cell lengths 11.466, 11.466, 11.466 Å; angles 60.00, 60.00, 60.00 degrees
Fractional positions:
La1 0.054 0.649 0.649
La2 0.125 0.125 0.125
La3 0.125 0.125 0.625
La4 0.125 0.625 0.125
La5 0.351 0.351 0.351
La6 0.351 0.351 0.946
La7 0.351 0.946 0.351
La8 0.375 0.875 0.875
La9 0.625 0.125 0.125
La10 0.649 0.054 0.649
La11 0.649 0.649 0.054
La12 0.649 0.649 0.649
La13 0.875 0.375 0.875
La14 0.875 0.875 0.375
La15 0.875 0.875 0.875
La16 0.946 0.351 0.351
Tb1 0.000 0.000 0.000
Tb2 0.000 0.000 0.500
Tb3 0.000 0.500 0.000
Tb4 0.000 0.500 0.500
Tb5 0.500 0.000 0.000
Tb6 0.500 0.000 0.500
Tb7 0.500 0.500 0.000
Ho1 0.260 0.260 0.740
Ho2 0.260 0.740 0.260
Ho3 0.260 0.740 0.740
Ho4 0.740 0.260 0.260
Ho5 0.740 0.260 0.740
Ho6 0.740 0.740 0.260

* formation enthalpy at 0 K: 5.65 eV/f.u.
* space-group type: Fm-3m (225)

no.,DOS(E_F) (states/eV/f.u.),raw total energy (eV/cell)
1,3.0,-56.3
2,44.4,-133.1